(A)
PBE NdHo2Hg6, optimized geometry; total magnetization = 0.0 μB/cell; space group = I4/mmm, No. 139
1.0
-2.268 2.268 12.861
2.268 -2.268 12.861
2.268 2.268 -12.861
Nd Ho Hg
1 2 6
direct
0.000 0.000 0.000
0.331 0.331 0.000
0.669 0.669 0.000
0.088 0.588 0.500
0.250 0.750 0.500
0.412 0.912 0.500
0.588 0.088 0.500
0.750 0.250 0.500
0.912 0.412 0.500

***

(B)
PBE NdHo2Hg6, optimized geometry; total magnetization = 0.2 μB/cell; space group = P6/mmm, No. 191
1.0
8.631 0.000 0.000
-4.316 7.475 0.000
0.000 0.000 3.445
Nd Ho Hg
1 2 6
direct
0.000 0.000 0.000
0.333 0.667 0.000
0.667 0.333 0.000
0.000 0.336 0.500
0.000 0.664 0.500
0.336 0.000 0.500
0.336 0.336 0.500
0.664 0.000 0.500
0.664 0.664 0.500

***

(B) comes first in stability; the runner-up is 0.222 eV/atom higher.